#A
# YSiWSe2

A geometry-optimized YSiWSe2 structure (GGA-PBE, Alexandria).

```
5
Lattice="5.316 0.000 0.000 0.000 5.316 0.000 0.000 0.000 5.300" Properties=species:S:1:pos:R:3 pbc="T T T"
Y 0.000 0.000 0.000
Si 0.000 0.000 2.650
W 2.658 2.658 2.650
Se 0.000 2.658 0.000
Se 2.658 0.000 0.000
```

Crystal system: tetragonal

#B
# YSiWSe2

A geometry-optimized YSiWSe2 structure (GGA-PBE, Alexandria).

```
5
Lattice="4.771 0.000 0.000 0.000 4.771 0.000 0.000 0.000 5.893" Properties=species:S:1:pos:R:3 pbc="T T T"
Y 0.000 0.000 0.000
Si 2.386 2.386 0.000
W 0.000 0.000 2.947
Se 0.000 2.386 2.947
Se 2.386 0.000 2.947
```

Crystal system: tetragonal

Question: which arrangement is favored energetically? Ranking from most to least stable: #B, #A.

#A
# YSiSe3

A geometry-optimized YSiSe3 structure (GGA-PBE, Alexandria).

```
5
Lattice="4.863 0.000 0.000 0.000 4.863 0.000 0.000 0.000 4.863" Properties=species:S:1:pos:R:3 pbc="T T T"
Y 0.000 0.000 0.000
Si 2.431 2.431 2.431
Se 0.000 2.431 2.431
Se 2.431 0.000 2.431
Se 2.431 2.431 0.000
```

Crystal system: cubic

#B
# YSiSe3

A geometry-optimized YSiSe3 structure (GGA-PBE, Alexandria).

```
20
Lattice="7.838 0.000 0.000 0.000 6.604 0.000 0.000 0.000 9.135" Properties=species:S:1:pos:R:3 pbc="T T T"
Y 0.894 0.198 0.000
Y 3.025 3.500 4.567
Y 4.812 3.104 0.000
Y 6.944 6.407 4.567
Si 0.520 3.459 2.109
Si 3.399 0.157 6.676
Si 4.438 6.447 2.109
Si 7.318 3.145 6.676
Se 0.274 2.524 4.443
Se 1.336 5.547 2.793
Se 1.408 5.526 6.299
Se 2.510 2.223 1.732
Se 2.582 2.245 7.360
Se 3.645 5.826 9.010
Se 4.193 0.778 4.443
Se 5.255 4.359 2.793
Se 5.327 4.381 6.299
Se 6.429 1.079 1.732
Se 6.501 1.057 7.360
Se 7.564 4.080 9.010
```

Crystal system: orthorhombic

#C
# YSiSe3

A geometry-optimized YSiSe3 structure (GGA-PBE, Alexandria).

```
5
Lattice="5.421 0.000 0.000 0.000 5.421 0.000 0.000 0.000 5.421" Properties=species:S:1:pos:R:3 pbc="T T T"
Y 0.000 0.000 0.000
Si 2.710 2.710 2.710
Se 0.000 0.000 2.710
Se 0.000 2.710 0.000
Se 2.710 0.000 0.000
```

Crystal system: cubic

Question: which arrangement is favored energetically? Ranking from most to least stable: #B, #A, #C.

#A
# Zn2SiSe

A geometry-optimized Zn2SiSe structure (GGA-PBE, Alexandria).

```
8
Lattice="3.764 0.000 0.000 0.000 3.764 0.000 0.000 0.000 10.654" Properties=species:S:1:pos:R:3 pbc="T T T"
Zn 0.000 1.882 2.663
Zn 0.000 1.882 7.990
Zn 1.882 0.000 2.663
Zn 1.882 0.000 7.990
Si 0.000 0.000 0.000
Si 1.882 1.882 5.327
Se 0.000 0.000 5.327
Se 1.882 1.882 0.000
```

Crystal system: tetragonal

#B
# Zn2SiSe

A geometry-optimized Zn2SiSe structure (GGA-PBE, Alexandria).

```
16
Lattice="6.567 0.000 0.000 0.000 6.567 0.000 0.000 0.000 6.567" Properties=species:S:1:pos:R:3 pbc="T T T"
Zn 1.642 1.642 1.642
Zn 1.642 1.642 4.925
Zn 1.642 4.925 1.642
Zn 1.642 4.925 4.925
Zn 4.925 1.642 1.642
Zn 4.925 1.642 4.925
Zn 4.925 4.925 1.642
Zn 4.925 4.925 4.925
Si 0.000 0.000 0.000
Si 0.000 3.284 3.284
Si 3.284 0.000 3.284
Si 3.284 3.284 0.000
Se 0.000 0.000 3.284
Se 0.000 3.284 0.000
Se 3.284 0.000 0.000
Se 3.284 3.284 3.284
```

Crystal system: cubic

Question: which arrangement is favored energetically? Ranking from most to least stable: #A, #B.

#A
# Zn2SiSe

A geometry-optimized Zn2SiSe structure (GGA-PBE, Alexandria).

```
12
Lattice="2.728 0.000 0.000 -1.364 2.362 0.000 0.000 0.000 33.347" Properties=species:S:1:pos:R:3 pbc="T T T"
Zn 0.000 0.000 0.000
Zn 0.000 0.000 8.507
Zn 0.000 1.575 22.231
Zn 0.000 1.575 30.738
Zn 1.364 0.787 11.116
Zn 1.364 0.787 19.622
Si 0.000 0.000 17.303
Si 0.000 1.575 6.187
Si 1.364 0.787 28.418
Se 0.000 0.000 25.199
Se 0.000 1.575 14.083
Se 1.364 0.787 2.968
```

Crystal system: trigonal

#B
# Zn2SiSe

A geometry-optimized Zn2SiSe structure (GGA-PBE, Alexandria).

```
8
Lattice="11.187 0.000 0.000 0.000 3.580 0.000 -1.024 0.000 3.952" Properties=species:S:1:pos:R:3 pbc="T T T"
Zn 0.000 0.000 0.000
Zn 1.173 0.000 2.527
Zn 5.593 1.790 0.000
Zn 6.766 1.790 2.527
Si 1.764 1.790 0.688
Si 7.357 0.000 0.688
Se 3.862 0.000 0.534
Se 9.456 1.790 0.534
```

Crystal system: monoclinic

#C
# Zn2SiSe

A geometry-optimized Zn2SiSe structure (GGA-PBE, Alexandria).

```
4
Lattice="2.854 0.000 0.000 0.000 3.960 0.000 0.000 0.000 6.960" Properties=species:S:1:pos:R:3 pbc="T T T"
Zn 0.000 0.000 0.000
Zn 1.427 1.980 1.666
Si 1.427 1.980 6.058
Se 0.000 0.000 2.974
```

Crystal system: orthorhombic

#D
# Zn2SiSe

A geometry-optimized Zn2SiSe structure (GGA-PBE, Alexandria).

```
4
Lattice="3.553 0.000 0.000 0.000 3.553 0.000 0.000 0.000 5.554" Properties=species:S:1:pos:R:3 pbc="T T T"
Zn 0.000 0.000 1.306
Zn 0.000 0.000 4.249
Si 1.777 1.777 0.000
Se 1.777 1.777 2.777
```

Crystal system: tetragonal

Question: which arrangement is favored energetically? Ranking from most to least stable: #B, #C, #D, #A.

#A
# ZnSiSe3

A geometry-optimized ZnSiSe3 structure (GGA-PBE, Alexandria).

```
5
Lattice="4.846 0.000 0.000 0.000 4.846 0.000 0.000 0.000 4.846" Properties=species:S:1:pos:R:3 pbc="T T T"
Zn 0.000 0.000 0.000
Si 2.423 2.423 2.423
Se 0.000 2.423 2.423
Se 2.423 0.000 2.423
Se 2.423 2.423 0.000
```

Crystal system: cubic

#B
# ZnSiSe3

A geometry-optimized ZnSiSe3 structure (GGA-PBE, Alexandria).

```
20
Lattice="6.608 -6.602 0.000 6.608 6.602 0.000 -2.776 0.000 5.941" Properties=species:S:1:pos:R:3 pbc="T T T"
Zn 4.525 4.096 4.456
Zn 5.913 3.788 1.485
Zn 4.525 -3.788 4.456
Zn 5.913 -4.096 1.485
Si 1.789 1.060 4.397
Si 3.178 -1.060 1.427
Si 7.261 1.060 4.514
Si 8.649 -1.060 1.543
Se -0.350 1.088 3.569
Se 2.326 3.187 5.189
Se 1.039 -1.088 0.599
Se 3.479 0.753 2.833
Se 6.725 3.187 3.722
Se 2.090 -0.753 5.804
Se 8.348 0.753 0.137
Se 3.714 -3.187 2.218
Se 6.960 -0.753 3.107
Se 9.400 1.088 5.342
Se 8.113 -3.187 0.752
Se 10.788 -1.088 2.371
```

Crystal system: monoclinic

Question: which arrangement is favored energetically? Ranking from most to least stable: #B, #A.

#A
# Zr2SiSe

A geometry-optimized Zr2SiSe structure (GGA-PBE, Alexandria).

```
12
Lattice="3.370 0.000 0.000 -1.685 2.919 0.000 0.000 0.000 25.594" Properties=species:S:1:pos:R:3 pbc="T T T"
Zr 0.000 0.000 0.000
Zr 0.000 0.000 6.024
Zr 0.000 1.946 17.063
Zr 0.000 1.946 23.086
Zr 1.685 0.973 8.531
Zr 1.685 0.973 14.555
Si 0.000 0.000 12.506
Si 0.000 1.946 3.975
Si 1.685 0.973 21.037
Se 0.000 0.000 18.962
Se 0.000 1.946 10.431
Se 1.685 0.973 1.900
```

Crystal system: trigonal

#B
# Zr2SiSe

A geometry-optimized Zr2SiSe structure (GGA-PBE, Alexandria).

```
8
Lattice="3.852 0.000 0.000 0.000 3.852 0.000 0.000 0.000 10.677" Properties=species:S:1:pos:R:3 pbc="T T T"
Zr 0.000 0.000 0.000
Zr 0.000 1.926 2.669
Zr 1.926 0.000 8.008
Zr 1.926 1.926 5.339
Si 0.000 0.000 5.339
Si 1.926 1.926 0.000
Se 0.000 1.926 8.008
Se 1.926 0.000 2.669
```

Crystal system: tetragonal

#C
# Zr2SiSe

A geometry-optimized Zr2SiSe structure (GGA-PBE, Alexandria).

```
8
Lattice="4.653 0.000 0.000 0.000 3.333 0.000 0.000 0.000 9.942" Properties=species:S:1:pos:R:3 pbc="T T T"
Zr 0.000 0.000 0.000
Zr 0.000 1.666 4.971
Zr 2.327 0.000 2.549
Zr 2.327 1.666 7.521
Si 2.327 0.000 5.265
Si 2.327 1.666 0.293
Se 0.000 0.000 7.205
Se 0.000 1.666 2.234
```

Crystal system: orthorhombic

Question: which arrangement is favored energetically? Ranking from most to least stable: #C, #B, #A.

#A
# Zr2SiSe

A geometry-optimized Zr2SiSe structure (GGA-PBE, Alexandria).

```
12
Lattice="3.757 0.000 0.000 -1.878 3.253 0.000 0.000 0.000 20.054" Properties=species:S:1:pos:R:3 pbc="T T T"
Zr 0.000 0.000 0.000
Zr 0.000 0.000 3.700
Zr 0.000 2.169 13.369
Zr 0.000 2.169 17.069
Zr 1.878 1.084 6.685
Zr 1.878 1.084 10.384
Si 0.000 0.000 11.864
Si 0.000 2.169 5.179
Si 1.878 1.084 18.549
Se 0.000 0.000 15.239
Se 0.000 2.169 8.554
Se 1.878 1.084 1.870
```

Crystal system: trigonal

#B
# Zr2SiSe

A geometry-optimized Zr2SiSe structure (GGA-PBE, Alexandria).

```
16
Lattice="6.764 0.000 0.000 0.000 6.764 0.000 0.000 0.000 6.764" Properties=species:S:1:pos:R:3 pbc="T T T"
Zr 0.000 0.000 0.000
Zr 0.000 3.382 3.382
Zr 1.691 1.691 1.691
Zr 1.691 5.073 5.073
Zr 3.382 0.000 3.382
Zr 3.382 3.382 0.000
Zr 5.073 1.691 5.073
Zr 5.073 5.073 1.691
Si 0.000 0.000 3.382
Si 0.000 3.382 0.000
Si 3.382 0.000 0.000
Si 3.382 3.382 3.382
Se 1.691 1.691 5.073
Se 1.691 5.073 1.691
Se 5.073 1.691 1.691
Se 5.073 5.073 5.073
```

Crystal system: cubic

Question: which arrangement is favored energetically? Ranking from most to least stable: #A, #B.

#A
# Zr2SiSe

A geometry-optimized Zr2SiSe structure (GGA-PBE, Alexandria).

```
16
Lattice="6.720 0.000 0.000 0.000 6.720 0.000 0.000 0.000 6.720" Properties=species:S:1:pos:R:3 pbc="T T T"
Zr 1.680 1.680 1.680
Zr 1.680 1.680 5.040
Zr 1.680 5.040 1.680
Zr 1.680 5.040 5.040
Zr 5.040 1.680 1.680
Zr 5.040 1.680 5.040
Zr 5.040 5.040 1.680
Zr 5.040 5.040 5.040
Si 0.000 0.000 0.000
Si 0.000 3.360 3.360
Si 3.360 0.000 3.360
Si 3.360 3.360 0.000
Se 0.000 0.000 3.360
Se 0.000 3.360 0.000
Se 3.360 0.000 0.000
Se 3.360 3.360 3.360
```

Crystal system: cubic

#B
# Zr2SiSe

A geometry-optimized Zr2SiSe structure (GGA-PBE, Alexandria).

```
12
Lattice="3.835 0.000 0.000 -1.918 3.321 0.000 0.000 0.000 19.378" Properties=species:S:1:pos:R:3 pbc="T T T"
Zr 0.000 0.000 4.657
Zr 0.000 0.000 14.721
Zr 0.000 2.214 8.262
Zr 0.000 2.214 17.575
Zr 1.918 1.107 1.803
Zr 1.918 1.107 11.116
Si 0.000 0.000 9.689
Si 0.000 2.214 3.230
Si 1.918 1.107 16.148
Se 0.000 0.000 0.000
Se 0.000 2.214 12.919
Se 1.918 1.107 6.459
```

Crystal system: trigonal

Question: which arrangement is favored energetically? Ranking from most to least stable: #B, #A.